## Ni2OsRu (PBE)

Data for a geometry-optimized Ni2OsRu structure.

Computed properties:
DOS at the Fermi energy: 7.0 states/eV per cell
Relative energy among the computed polymorphs: 0.298 eV per atom
Crystal system: monoclinic

Unit cell a=2.5809 b=4.3446 c=4.6497 alpha=90.00 beta=93.45 gamma=90.00
Space group P2/m (No. 10)
Unique sites:
Ni1 0.2056 0.0000 0.2552 [2 per cell]
Os1 0.0000 0.5000 0.5000 [1 per cell]
Ru1 0.5000 0.5000 0.0000 [1 per cell]

## NiOsRu (PBE)

Data for a geometry-optimized NiOsRu structure.

Computed properties:
DOS at the Fermi energy: 12.7 states/eV per cell
Relative energy among the computed polymorphs: 0.019 eV per atom
Crystal system: monoclinic

Unit cell a=8.3336 b=3.6946 c=5.4154 alpha=90.00 beta=108.89 gamma=90.00
Space group C2/m (No. 12)
Unique sites:
Ni1 0.0006 0.0000 0.2541 [4 per cell]
Os1 0.1671 0.5000 0.5834 [4 per cell]
Ru1 0.1683 0.5000 0.0845 [4 per cell]

## Ni2Os2Ru (PBE)

Data for a geometry-optimized Ni2Os2Ru structure.

Computed properties:
DOS at the Fermi energy: 12.0 states/eV per cell
Relative energy among the computed polymorphs: 0.000 eV per atom
Crystal system: tetragonal

Unit cell a=7.0604 b=7.0604 c=2.7349 alpha=90.00 beta=90.00 gamma=90.00
Space group P4/mbm (No. 127)
Unique sites:
Ni1 0.1710 0.3290 0.0000 [4 per cell]
Os1 0.1250 0.6250 0.5000 [4 per cell]
Ru1 0.0000 0.0000 0.5000 [2 per cell]

## NiOs2Ru (PBE)

Data for a geometry-optimized NiOs2Ru structure.

Computed properties:
DOS at the Fermi energy: 8.0 states/eV per cell
Relative energy among the computed polymorphs: 0.017 eV per atom
Crystal system: monoclinic

Unit cell a=8.8711 b=2.6896 c=4.6087 alpha=90.00 beta=99.65 gamma=90.00
Space group Cm (No. 8)
Unique sites:
Ni1 0.0000 0.0000 0.0000 [2 per cell]
Os1 0.2514 0.5000 0.2502 [2 per cell]
Os2 0.4993 0.0000 0.4967 [2 per cell]
Ru1 0.2457 0.0000 0.7541 [2 per cell]